Entry 1:
First-principles (GGA-PBE) data for a geometry-optimized Sr3LaY2Te6 structure, as listed in Alexandria.

The structure belongs to space group C2/m (No. 12); the cell edges are 7.860, 13.603 and 8.034 Å and the angles 90.00°, 109.07° and 90.00°. The inequivalent atoms are Sr at (0.000, 0.000, 0.000), Sr at (0.000, 0.337, 0.000), La at (0.000, 0.500, 0.500), Y at (0.000, 0.168, 0.500), Te at (0.235, 0.000, 0.734) and Te at (0.249, 0.171, 0.263).

Its raw total energy is -5.0243 eV/atom. The density of states at the Fermi level comes out at 5.67 states/eV/f.u. The energy relative to the elements, uncorrected comes out at -1.545 eV per atom. For the total moment, the calculation gives 0.0 μB per formula unit.

=====

Entry 2:
First-principles (GGA-PBE) data for a geometry-optimized SrLa4Y3Te8 structure, as listed in Alexandria.

The structure belongs to space group R-3m (No. 166, hexagonal axes); the cell edges are 9.0034, 9.0034 and 22.2165 Å and the angles 90.00°, 90.00° and 120.00°. The inequivalent atoms are Sr at (0.0000, 0.0000, 0.0000), La at (0.0000, 0.0000, 0.5000), La at (0.0000, 0.5000, 0.5000), Y at (0.0000, 0.5000, 0.0000), Te at (0.0000, 0.0000, 0.2553) and Te at (0.0076, 0.5038, 0.2536).

Its raw total energy is -5.6077 eV/atom. The density of states at the Fermi level comes out at 10.42 states/eV/f.u. The energy relative to the elements, uncorrected comes out at -1.488 eV per atom. For the total moment, the calculation gives 0.0 μB per formula unit.

=====

Entry 3:
First-principles (GGA-PBE) data for a geometry-optimized SrLaZrTe2 structure, as listed in Alexandria.

The structure belongs to space group P4/mmm (No. 123); the cell edges are 6.143, 6.143 and 5.410 Å and the angles 90.00°, 90.00° and 90.00°. The inequivalent atoms are Sr at (0.000, 0.000, 0.000), La at (0.500, 0.500, 0.500), Zr at (0.500, 0.500, 0.000) and Te at (0.000, 0.500, 0.500).

Its raw total energy is -4.2959 eV/atom. The density of states at the Fermi level comes out at 6.55 states/eV/f.u. The energy relative to the elements, uncorrected comes out at -0.008 eV per atom. For the total moment, the calculation gives 2.3 μB per formula unit.

=====

Entry 4:
First-principles (GGA-PBE) data for a geometry-optimized SrLa2Ti2 structure, as listed in Alexandria.

The structure belongs to space group P4/mbm (No. 127); the cell edges are 9.363, 9.363 and 3.449 Å and the angles 90.00°, 90.00° and 90.00°. The inequivalent atoms are Sr at (0.000, 0.000, 0.000), La at (0.182, 0.318, 0.500) and Ti at (0.104, 0.604, 0.000).

The calculation puts the energy relative to the elements at 0.39 eV per atom. Its raw total energy is -5.0785 eV/atom. The density of states at the Fermi level comes out at 8.08 states/eV/f.u. The value obtained for the energy above the most stable polymorph in this dataset is 0 meV per atom. For the total moment, the calculation gives 0.6 μB per formula unit.

=====

> Number 2 is which compound?

SrLa4Y3Te8